Record 1
Computed, not measured: a geometry-optimized Ca3Ga2Pt3 structure at the GGA-PBE level of DFT.

Values from the calculation:
space-group type: Pnma, No. 62
formation energy: -0.92 eV per atom

```
Ca3Ga2Pt3
1.0
-0.325 3.266 4.845
-7.744 -1.793 0.689
3.504 -11.954 8.293
Pt Ca Ga
12 12 8
direct
0.898 0.833 0.458
0.085 0.183 0.250
0.415 0.683 0.250
0.585 0.317 0.750
0.915 0.817 0.750
0.898 0.833 0.042
0.398 0.667 0.542
0.602 0.333 0.458
0.398 0.667 0.958
0.602 0.333 0.042
0.102 0.167 0.542
0.102 0.167 0.958
0.636 0.029 0.605
0.864 0.529 0.895
0.908 0.828 0.250
0.592 0.328 0.250
0.136 0.471 0.395
0.636 0.029 0.895
0.364 0.971 0.105
0.364 0.971 0.395
0.408 0.672 0.750
0.136 0.471 0.105
0.864 0.529 0.605
0.092 0.172 0.750
0.624 0.627 0.103
0.124 0.873 0.603
0.876 0.127 0.103
0.124 0.873 0.897
0.876 0.127 0.397
0.376 0.373 0.897
0.624 0.627 0.397
0.376 0.373 0.603
```


Record 2
Computed, not measured: a geometry-optimized CsCaTl6 structure at the GGA-PBE level of DFT.

Values from the calculation:
space-group type: Pmm2, No. 25
formation energy: -0.10 eV per atom

```
CsCaTl6
1.0
5.415 0.000 0.000
0.000 6.329 0.000
0.000 0.000 8.045
Tl Ca Cs
6 1 1
direct
0.500 0.857 0.710
0.500 0.233 0.000
0.000 0.689 0.500
0.000 0.167 0.290
0.000 0.167 0.710
0.500 0.857 0.290
0.500 0.371 0.500
0.000 0.659 0.000
```


Record 3
Computed, not measured: a geometry-optimized SmY2GeN4 structure at the GGA-PBE level of DFT.

Values from the calculation:
space-group type: Cmcm, No. 63
energy relative to the elements, uncorrected: -1056 meV per atom

```
SmY2GeN4
1.0
3.532 0.000 0.000
-1.766 5.701 0.000
0.000 0.000 11.660
Ge Y N Sm
2 4 8 2
direct
0.839 0.677 0.750
0.161 0.323 0.250
0.370 0.739 0.544
0.630 0.261 0.456
0.630 0.261 0.044
0.370 0.739 0.956
0.000 0.000 0.000
0.575 0.150 0.250
0.270 0.540 0.372
0.000 0.000 0.500
0.730 0.460 0.872
0.425 0.850 0.750
0.270 0.540 0.128
0.730 0.460 0.628
0.899 0.798 0.250
0.101 0.202 0.750
```


Record 4
Computed, not measured: a geometry-optimized Al2CdMo structure at the GGA-PBE level of DFT.

Values from the calculation:
space-group type: I4/mmm, No. 139
formation energy: 0.00 eV per atom

```
Al2CdMo
1.0
5.082 -0.002 -0.002
1.995 4.674 0.002
-3.538 -2.337 2.802
Mo Al Cd
1 2 1
direct
0.250 0.750 0.500
0.500 0.500 0.000
0.000 0.000 0.000
0.750 0.250 0.500
```


Record 5
Computed, not measured: a geometry-optimized LiNdAlAu structure at the GGA-PBE level of DFT.

Values from the calculation:
space-group type: F-43m, No. 216
formation energy: -0.55 eV per atom

```
LiNdAlAu
1.0
-4.456 1.562 1.117
-2.958 -2.793 2.644
-1.062 1.237 4.569
Nd Al Li Au
1 1 1 1
direct
0.250 0.250 0.250
0.750 0.750 0.750
0.500 0.500 0.500
0.000 0.000 0.000
```


Record 6
Computed, not measured: a geometry-optimized KMgBeSe structure at the GGA-PBE level of DFT.

Values from the calculation:
space-group type: P3m1, No. 156
distance to the lowest polymorph of the same formula: 80 meV/atom
energy relative to the elements, uncorrected: -199 meV per atom

```
KMgBeSe
1.0
4.269 0.000 0.000
-2.135 3.697 0.000
0.000 0.000 6.960
K Mg Be Se
1 1 1 1
direct
0.333 0.667 0.364
0.000 0.000 0.827
0.667 0.333 0.704
0.667 0.333 0.018
```


Record 7
Computed, not measured: a geometry-optimized CaTbRe2O8 structure at the GGA-PBE level of DFT.

Values from the calculation:
space-group type: P-3m1, No. 164
energy relative to the elements, uncorrected: -2037 meV per atom

```
CaTbRe2O8
1.0
5.949 0.000 0.000
-2.974 5.152 0.000
0.000 0.000 6.772
O Re Tb Ca
8 2 1 1
direct
0.838 0.162 0.272
0.838 0.677 0.272
0.162 0.323 0.728
0.667 0.333 0.929
0.677 0.838 0.728
0.333 0.667 0.071
0.162 0.838 0.728
0.323 0.162 0.272
0.333 0.667 0.809
0.667 0.333 0.191
0.000 0.000 0.500
0.000 0.000 0.000
```


Record 8
Computed, not measured: a geometry-optimized Tb2PuC2 structure at the GGA-PBE level of DFT.

Values from the calculation:
space-group type: C2/m, No. 12
formation energy: -0.10 eV per atom

```
Tb2PuC2
1.0
-0.873 1.176 4.954
4.905 -0.968 3.787
3.847 6.224 1.894
Pu Tb C
2 4 4
direct
0.367 0.163 0.104
0.633 0.837 0.896
0.672 0.244 0.412
0.977 0.309 0.736
0.023 0.691 0.264
0.328 0.756 0.588
0.487 0.278 0.749
0.513 0.722 0.251
0.183 0.240 0.393
0.817 0.760 0.607
```


Record 9
Computed, not measured: a geometry-optimized Zn2Bi2Au structure at the GGA-PBE level of DFT.

Values from the calculation:
space-group type: P4/mbm, No. 127
distance to the lowest polymorph of the same formula: 0 meV/atom
formation energy: 0.08 eV per atom

```
Zn2Bi2Au
1.0
-5.140 2.591 -3.912
-3.947 0.749 5.682
1.706 4.314 0.616
Bi Zn Au
4 4 2
direct
0.325 0.175 0.500
0.825 0.325 0.500
0.175 0.675 0.500
0.675 0.825 0.500
0.866 0.634 0.000
0.634 0.134 0.000
0.134 0.366 0.000
0.366 0.866 0.000
0.500 0.500 0.000
0.000 0.000 0.000
```


Record 10
Computed, not measured: a geometry-optimized K2Tl3Bi2 structure at the GGA-PBE level of DFT.

Values from the calculation:
space-group type: C2/m, No. 12
formation energy: -0.19 eV per atom

```
K2Tl3Bi2
1.0
5.054 0.000 0.000
-2.527 6.295 0.095
0.000 -2.768 8.165
Tl K Bi
3 2 2
direct
0.500 0.000 0.000
0.622 0.243 0.452
0.378 0.757 0.548
0.858 0.716 0.223
0.142 0.284 0.777
0.150 0.299 0.232
0.850 0.701 0.768
```


Record 11
Computed, not measured: a geometry-optimized La2TcSb structure at the GGA-PBE level of DFT.

Values from the calculation:
space-group type: Cmmm, No. 65
energy relative to the elements, uncorrected: -279 meV per atom

```
La2TcSb
1.0
3.529 0.011 0.000
-0.557 3.484 0.000
0.000 0.000 8.761
La Sb Tc
2 1 1
direct
0.000 0.000 0.544
0.000 0.000 0.956
0.500 0.500 0.250
0.500 0.500 0.750
```


Record 12
Computed, not measured: a geometry-optimized PrNp2S6 structure at the GGA-PBE level of DFT.

Values from the calculation:
space-group type: C2/m, No. 12
energy relative to the elements, uncorrected: -1328 meV per atom

```
PrNp2S6
1.0
-3.591 -3.602 -0.665
-1.553 -3.251 6.217
-6.888 2.799 2.245
S Pr Np
6 1 2
direct
0.263 0.361 0.113
0.737 0.639 0.887
0.637 0.290 0.437
0.038 0.138 0.785
0.962 0.862 0.215
0.363 0.710 0.563
0.000 0.500 0.500
0.181 0.740 0.898
0.819 0.260 0.102
```


| no. | total moment (μB/f.u.) |
| --- | --- |
| 1 | 0.00 |
| 2 | 0.00 |
| 3 | 0.00 |
| 4 | 0.00 |
| 5 | 0.00 |
| 6 | 0.00 |
| 7 | 3.00 |
| 8 | 4.97 |
| 9 | 0.00 |
| 10 | 0.00 |
| 11 | 0.00 |
| 12 | 5.00 |